This record from Alexandria via LeMat-Bulk describes Hf3Nb2Hg2 after structural relaxation. The functional is PBE.

POSCAR file:
```
Hf3Nb2Hg2
1.0
4.416 0.000 0.000
0.000 21.701 0.000
0.000 0.000 3.021
Hf Nb Hg
6 4 4
direct
0.000 0.000 0.000
0.000 0.149 0.000
0.000 0.851 0.000
0.500 0.351 0.000
0.500 0.500 0.000
0.500 0.649 0.000
0.000 0.282 0.500
0.000 0.718 0.500
0.500 0.218 0.500
0.500 0.782 0.500
0.000 0.426 0.500
0.000 0.574 0.500
0.500 0.074 0.500
0.500 0.926 0.500
```

Output
- Final energy: -7.152 eV per atom
- Theoretical density: 12.88 g cm⁻³
- Formation energy from the elements: 0.08 eV per atom
- Space group: No. 65
- Magnetization: 0.0 μB per cell